No. 1
First-principles (PBE-GGA) data for a relaxed Mn2SiI crystal, as listed in Alexandria. Values from VASP.

Geometry as Quantum ESPRESSO input:
```
&SYSTEM
  ibrav = 0, nat = 4, ntyp = 3
/
ATOMIC_SPECIES
I 126.90 I.upf
Si 28.09 Si.upf
Mn 54.94 Mn.upf
ATOMIC_POSITIONS crystal
I 0.5361 0.8505 0.0090
Si 0.8692 0.1839 0.4862
Mn 0.2026 0.5177 0.3148
Mn 0.5359 0.8504 0.5824
CELL_PARAMETERS angstrom
3.9026 0.0490 -0.1083
1.9087 3.4058 -0.0490
0.1757 -0.0025 6.2225
```

Results
Space-group type: P3m1
E_form (uncorrected) in meV/atom: 125
Total magnetization in Bohr magnetons per cell: 5.894
Fermi-level density of states in states/eV per cell: 2.089
ρ in g/cm³: 5.4

=====

No. 2
First-principles (PBE-GGA) data for a relaxed AsPC crystal, as listed in Alexandria. Values from VASP.

Geometry as Quantum ESPRESSO input:
```
&SYSTEM
  ibrav = 0, nat = 6, ntyp = 3
/
ATOMIC_SPECIES
P 30.97 P.upf
As 74.92 As.upf
C 12.01 C.upf
ATOMIC_POSITIONS crystal
P 0.9407 0.0000 0.5257
P 0.9407 0.5000 0.0257
As 0.3826 0.0000 0.9948
As 0.3826 0.5000 0.4948
C 0.0687 0.0000 0.8981
C 0.0687 0.5000 0.3981
CELL_PARAMETERS angstrom
6.6814 0.0000 0.0072
0.0000 2.9087 0.0000
-1.1625 0.0000 4.8923
```

Results
Space-group type: Cm
Formation energy from the elements in eV per atom: 0.386
Total magnetization in Bohr magnetons per cell: 0.000
Fermi-level density of states in states/eV per cell: 0.423
ρ in g/cm³: 4.1